No. 1
A plane-wave DFT calculation with GGA-PBEsol was carried out for a geometry-optimized RhAu2F2 structure.

a b c (Å): 3.6644 3.6644 6.3582
angles (deg): 106.75 106.75 90.00
Each line ends with the local moment (μB).
Atoms (fractional coordinates):
Au 0.7500 0.2500 0.5000  0.02
Au 0.2500 0.7500 0.5000  0.02
F 0.4051 0.4051 0.8102  0.07
F 0.5949 0.5949 0.1898  0.07
Rh 0.0000 0.0000 0.0000  1.88

Values from the calculation:
**Size of the total moment**: 2.13 Bohr magnetons per cell
**Formation energy from raw total energies**: 0.39 eV/atom

No. 2
A plane-wave DFT calculation with GGA-PBEsol was carried out for a geometry-optimized MgTc2Sb structure.

a b c (Å): 3.0782 4.6173 5.0719
angles (deg): 108.15 107.67 90.00
Atoms (fractional coordinates):
Sb 0.7362 0.2065 0.4724
Tc 0.9885 0.0289 0.9770
Tc 0.2642 0.7216 0.5284
Mg 0.5111 0.5431 0.0222

Values from the calculation:
**Relative energy among the computed polymorphs**: 0.0 meV per atom
**Size of the total moment**: 0.00 Bohr magnetons per cell
**Formation energy from raw total energies**: 0.18 eV/atom

No. 3
A plane-wave DFT calculation with GGA-PBEsol was carried out for a geometry-optimized KRb2CrF6 structure.

a b c (Å): 6.1698 6.2160 6.1698
angles (deg): 60.25 90.00 119.75
Each line ends with the local moment (μB).
Atoms (fractional coordinates):
F 0.7837 0.5674 0.2163  0.01
F 0.1739 0.0000 0.2564  0.01
F 0.2163 0.4326 0.7837  0.01
F 0.8261 0.0000 0.7436  0.01
F 0.7436 0.0000 0.1739  0.01
F 0.2564 0.0000 0.8261  0.01
Rb 0.7500 0.5000 0.7500  0.00
Rb 0.2500 0.5000 0.2500  0.00
Cr 0.0000 0.0000 0.0000  2.80
K 0.5000 0.0000 0.5000  0.00

Values from the calculation:
**Size of the total moment**: 3.00 Bohr magnetons per cell
**Formation energy from raw total energies**: -2.82 eV/atom

No. 4
A plane-wave DFT calculation with GGA-PBEsol was carried out for a geometry-optimized LaP3N structure.

a b c (Å): 4.2671 4.2671 4.2671
angles (deg): 90.00 90.00 90.00
Atoms (fractional coordinates):
P 0.0000 0.5000 0.0000
P 0.5000 0.0000 0.0000
P 0.0000 0.0000 0.5000
La 0.5000 0.5000 0.5000
N 0.0000 0.0000 0.0000

Values from the calculation:
**Size of the total moment**: 0.00 Bohr magnetons per cell
**Formation energy from raw total energies**: -0.06 eV/atom

No. 5
A plane-wave DFT calculation with GGA-PBEsol was carried out for a geometry-optimized In3GaN4 structure.

a b c (Å): 5.5860 6.8899 6.8899
angles (deg): 120.00 90.00 90.00
Atoms (fractional coordinates):
N 0.6138 0.6460 0.8230
N 0.6138 0.1770 0.3540
N 0.6138 0.1770 0.8230
N 0.1138 0.8230 0.1770
N 0.1138 0.8230 0.6460
N 0.1531 0.3333 0.6667
N 0.1138 0.3540 0.1770
N 0.6531 0.6667 0.3333
Ga 0.0005 0.6667 0.3333
Ga 0.5005 0.3333 0.6667
In 0.5017 0.8305 0.6610
In 0.5017 0.3390 0.1695
In 0.5017 0.8305 0.1695
In 0.0017 0.1695 0.3390
In 0.0017 0.1695 0.8305
In 0.0017 0.6610 0.8305

Values from the calculation:
**Size of the total moment**: 0.00 Bohr magnetons per cell
**Formation energy from raw total energies**: -0.16 eV/atom

No. 6
A plane-wave DFT calculation with GGA-PBEsol was carried out for a geometry-optimized Ba4Nb25O40 structure.

a b c (Å): 4.1197 6.6199 33.1063
angles (deg): 90.03 90.00 90.00
Atoms (fractional coordinates):
Nb 0.5000 0.7925 0.9232
Nb 0.5000 0.2103 0.6805
Nb 0.5000 0.7936 0.1204
Nb 0.5000 0.2103 0.4804
Nb 0.5000 0.6004 0.8425
Nb 0.5000 0.2075 0.0768
Nb 0.0000 0.5000 0.5000
Nb 0.5000 0.3812 0.9600
Nb 0.5000 0.5985 0.4420
Nb 0.0000 0.4964 0.9003
Nb 0.5000 0.4015 0.5580
Nb 0.5000 0.3996 0.1575
Nb 0.0000 0.4995 0.3000
Nb 0.5000 0.7897 0.5196
Nb 0.5000 0.2064 0.8796
Nb 0.5000 0.5977 0.2417
Nb 0.5000 0.7909 0.7198
Nb 0.5000 0.6188 0.0400
Nb 0.0000 0.5036 0.0997
Nb 0.0000 0.5005 0.7000
Nb 0.5000 0.4015 0.3579
Nb 0.5000 0.2091 0.2802
Nb 0.5000 0.4023 0.7583
Nb 0.5000 0.5985 0.6421
Nb 0.5000 0.7897 0.3195
O 0.5000 0.7010 0.5802
O 0.0000 0.7982 0.1238
O 0.5000 0.1023 0.1398
O 0.0000 0.7934 0.9212
O 0.5000 0.0989 0.5403
O 0.0000 0.2066 0.0788
O 0.0000 0.3884 0.1593
O 0.0000 0.2027 0.4774
O 0.5000 0.3107 0.0209
O 0.5000 0.6893 0.9791
O 0.0000 0.3882 0.7594
O 0.0000 0.6128 0.6405
O 0.5000 0.0971 0.9381
O 0.0000 0.6116 0.8407
O 0.5000 0.9011 0.4597
O 0.0000 0.6118 0.2406
O 0.0000 0.7969 0.3225
O 0.5000 0.2979 0.2198
O 0.0000 0.2031 0.6775
O 0.5000 0.8999 0.2598
O 0.5000 0.6998 0.1807
O 0.0000 0.7973 0.5226
O 0.0000 0.2021 0.2775
O 0.5000 0.9012 0.6597
O 0.5000 0.7021 0.7802
O 0.0000 0.6126 0.4405
O 0.5000 0.2990 0.4198
O 0.5000 0.3002 0.8193
O 0.5000 0.9029 0.0619
O 0.0000 0.3874 0.5595
O 0.0000 0.6135 0.0408
O 0.0000 0.2018 0.8762
O 0.5000 0.0988 0.3403
O 0.5000 0.7010 0.3801
O 0.0000 0.3872 0.3595
O 0.0000 0.3865 0.9592
O 0.5000 0.1001 0.7402
O 0.5000 0.2990 0.6199
O 0.5000 0.8977 0.8602
O 0.0000 0.7979 0.7225
Ba 0.0000 0.9998 0.6001
Ba 0.0000 0.9981 0.8009
Ba 0.0000 0.0002 0.3999
Ba 0.0000 0.0019 0.1991

Values from the calculation:
**Size of the total moment**: 0.00 Bohr magnetons per cell
**Formation energy from raw total energies**: -2.42 eV/atom

No. 7
A plane-wave DFT calculation with GGA-PBEsol was carried out for a geometry-optimized La2TcBr structure.

a b c (Å): 3.4825 3.4863 8.1647
angles (deg): 90.00 92.91 90.00
Atoms (fractional coordinates):
La 0.9606 0.0000 0.2119
La 0.0394 0.0000 0.7881
Tc 0.5000 0.5000 0.0000
Br 0.5000 0.5000 0.5000

Values from the calculation:
**Relative energy among the computed polymorphs**: 12.4 meV per atom
**Size of the total moment**: 0.00 Bohr magnetons per cell
**Formation energy from raw total energies**: -0.61 eV/atom

No. 8
A plane-wave DFT calculation with GGA-PBEsol was carried out for a geometry-optimized LaTa2Rh structure.

a b c (Å): 2.8898 5.3683 5.6375
angles (deg): 118.43 90.00 90.00
Atoms (fractional coordinates):
La 0.5000 0.0000 0.0000
Ta 0.0000 0.5000 0.5000
Ta 0.0000 0.0000 0.5000
Rh 0.5000 0.5000 0.0000

Values from the calculation:
**Energy relative to the elements**: 0.3816 eV/atom
**Relative energy among the computed polymorphs**: 427.7 meV per atom
**Size of the total moment**: 0.00 Bohr magnetons per cell

- Which value of size of the total moment does entry 6 give?
  0.00 Bohr magnetons per cell

- Number 1 is which compound?
  RhAu2F2